The following is a DFT calculation (GGA-PBEsol) of BaBeSe2 after structural relaxation.

Properties
magnetic moment	0.000	μB/f.u.
raw formation energy	-3.9	eV/f.u.
symmetry	P2/m (10)

The structure in POSCAR format:
```
BaBeSe2
1.0
4.202 0.000 0.000
0.000 3.526 0.000
-0.401 0.000 6.947
Ba Be Se
1 1 2
Direct
0.000 0.000 0.000
0.500 0.000 0.500
0.473 0.500 0.725
0.527 0.500 0.275
```